Entry 1:
# La2MoRh

A relaxed structure of La2MoRh (GGA-PBE, Alexandria via LeMat-Bulk).

Results
Space group: P2/m
Polymorph energy (0 for the lowest one): 137 meV/atom
Raw total energy: -27.66 eV/cell
V: 96 Å³/cell
Energy of formation from the pure elements: 96 meV per atom
Calculated density: 8.26 Mg/m³

Cell: 3.6472 3.6480 7.2005 Å, 90.00 90.14 90.00°
Element x y z (fractional)
La1 0.9996 0.0000 0.2369
La2 0.0004 0.0000 0.7631
Mo1 0.5000 0.5000 0.5000
Rh1 0.5000 0.5000 0.0000

---

Entry 2:
# ZrScCdRh

A relaxed structure of ZrScCdRh (GGA-PBE, Alexandria via LeMat-Bulk).

Results
Space group: P4mm
Polymorph energy (0 for the lowest one): 0 meV/atom
Raw total energy: -25.26 eV/cell
V: 79 Å³/cell
Energy of formation from the pure elements: -529 meV per atom
Calculated density: 7.39 Mg/m³

Cell: 3.2602 3.2602 7.4291 Å, 90.00 90.00 90.00°
Element x y z (fractional)
Zr1 0.0000 0.0000 0.0000
Sc1 0.0000 0.0000 0.5635
Cd1 0.5000 0.5000 0.2871
Rh1 0.5000 0.5000 0.7732

---

Entry 3:
# LaIn8Ag4

A relaxed structure of LaIn8Ag4 (GGA-PBE, Alexandria via LeMat-Bulk).

Results
Space group: I4/mmm
Raw total energy: -40.08 eV/cell
V: 305 Å³/cell
Energy of formation from the pure elements: -142 meV per atom
Calculated density: 8.12 Mg/m³

Cell: 7.7393 7.7393 7.7393 Å, 98.57 98.57 134.59°
Element x y z (fractional)
La1 0.0000 0.0000 0.0000
In1 0.0000 0.3454 0.3454
In2 0.0000 0.6546 0.6546
In3 0.2867 0.5000 0.7867
In4 0.3454 0.0000 0.3454
In5 0.5000 0.2867 0.7867
In6 0.5000 0.7133 0.2133
In7 0.6546 0.0000 0.6546
In8 0.7133 0.5000 0.2133
Ag1 0.0000 0.0000 0.5000
Ag2 0.0000 0.5000 0.0000
Ag3 0.5000 0.0000 0.0000
Ag4 0.5000 0.5000 0.5000

---

Entry 4:
# CaErTl6

A relaxed structure of CaErTl6 (GGA-PBE, Alexandria via LeMat-Bulk).

Results
Space group: P4/mmm
Raw total energy: -22.48 eV/cell
V: 222 Å³/cell
Energy of formation from the pure elements: -215 meV per atom
Calculated density: 10.75 Mg/m³

Cell: 4.7935 4.7935 9.6400 Å, 90.00 90.00 90.00°
Element x y z (fractional)
Ca1 0.0000 0.0000 0.0000
Er1 0.0000 0.0000 0.5000
Tl1 0.0000 0.5000 0.2542
Tl2 0.0000 0.5000 0.7458
Tl3 0.5000 0.0000 0.2542
Tl4 0.5000 0.0000 0.7458
Tl5 0.5000 0.5000 0.0000
Tl6 0.5000 0.5000 0.5000

---

Entry 5:
# MnGe3Bi

A relaxed structure of MnGe3Bi (GGA-PBE, Alexandria via LeMat-Bulk).

Results
Space group: Pm-3m
Raw total energy: -25.59 eV/cell
V: 111 Å³/cell
Energy of formation from the pure elements: 262 meV per atom
Calculated density: 7.23 Mg/m³

Cell: 4.8020 4.8020 4.8020 Å, 90.00 90.00 90.00°
Element x y z (fractional)
Mn1 0.0000 0.0000 0.0000
Ge1 0.0000 0.0000 0.5000
Ge2 0.0000 0.5000 0.0000
Ge3 0.5000 0.0000 0.0000
Bi1 0.5000 0.5000 0.5000

---

Entry 6:
# Ag4SnAu

A relaxed structure of Ag4SnAu (GGA-PBE, Alexandria via LeMat-Bulk).

Results
Space group: P4/mmm
Polymorph energy (0 for the lowest one): 11 meV/atom
Raw total energy: -18.59 eV/cell
V: 115 Å³/cell
Energy of formation from the pure elements: 15 meV per atom
Calculated density: 10.77 Mg/m³

Cell: 3.4995 3.4995 9.4084 Å, 90.00 90.00 90.00°
Element x y z (fractional)
Ag1 0.0000 0.0000 0.1582
Ag2 0.0000 0.0000 0.8418
Ag3 0.5000 0.5000 0.3169
Ag4 0.5000 0.5000 0.6831
Sn1 0.0000 0.0000 0.5000
Au1 0.5000 0.5000 0.0000

---

Entry 7:
# Er5Te2Rh

A relaxed structure of Er5Te2Rh (GGA-PBE, Alexandria via LeMat-Bulk).

Results
Space group: Pbam
Polymorph energy (0 for the lowest one): 0 meV/atom
Raw total energy: -86.61 eV/cell
V: 431 Å³/cell
Formation energy without anion corrections: -857 meV per atom
Calculated density: 9.19 Mg/m³

Cell: 8.1201 13.1039 4.0546 Å, 90.00 90.00 90.00°
Element x y z (fractional)
Er1 0.0000 0.0000 0.0000
Er2 0.1645 0.3166 0.0000
Er3 0.1692 0.5855 0.5000
Er4 0.3308 0.0855 0.5000
Er5 0.3355 0.8166 0.0000
Er6 0.5000 0.5000 0.0000
Er7 0.6645 0.1834 0.0000
Er8 0.6692 0.9145 0.5000
Er9 0.8308 0.4145 0.5000
Er10 0.8355 0.6834 0.0000
Te1 0.0380 0.8208 0.5000
Te2 0.4620 0.3208 0.5000
Te3 0.5380 0.6792 0.5000
Te4 0.9620 0.1792 0.5000
Rh1 0.0000 0.5000 0.0000
Rh2 0.5000 0.0000 0.0000

---

Entry 8:
# HfNi2SnBi

A relaxed structure of HfNi2SnBi (GGA-PBE, Alexandria via LeMat-Bulk).

Results
Space group: P4/mmm
Raw total energy: -26.03 eV/cell
V: 117 Å³/cell
Energy of formation from the pure elements: 675 meV per atom
Calculated density: 8.87 Mg/m³

Cell: 4.6564 4.6564 5.3833 Å, 90.00 90.00 90.00°
Element x y z (fractional)
Hf1 0.0000 0.0000 0.0000
Ni1 0.0000 0.5000 0.5000
Ni2 0.5000 0.0000 0.5000
Sn1 0.0000 0.0000 0.5000
Bi1 0.5000 0.5000 0.0000

---

What did the sixth record say?
# Ag4SnAu

A relaxed structure of Ag4SnAu (GGA-PBE, Alexandria via LeMat-Bulk).

Results
Space group: P4/mmm
Polymorph energy (0 for the lowest one): 11 meV/atom
Raw total energy: -18.59 eV/cell
V: 115 Å³/cell
Energy of formation from the pure elements: 15 meV per atom
Calculated density: 10.77 Mg/m³

Cell: 3.4995 3.4995 9.4084 Å, 90.00 90.00 90.00°
Element x y z (fractional)
Ag1 0.0000 0.0000 0.1582
Ag2 0.0000 0.0000 0.8418
Ag3 0.5000 0.5000 0.3169
Ag4 0.5000 0.5000 0.6831
Sn1 0.0000 0.0000 0.5000
Au1 0.5000 0.5000 0.0000

---

> Number 2 is which compound?

ZrScCdRh